[1]
DFT (PBE) results for Pu2Ga5Ni2Ir after structural relaxation.

Values from the calculation:
**ΔE_f**: -0.343 eV per atom
**Theoretical density**: 11.4 g/cm3
**DFT total energy**: -6.76 eV/atom

Structure (POSCAR):
```
Pu2Ga5Ni2Ir
1.0
2.868 0.000 0.000
0.000 10.768 0.000
0.000 0.000 10.768
Pu Ga Ni Ir
4 10 4 2
Cartesian
0.000 7.296 1.912 Pu
0.000 3.472 8.856 Pu
0.000 1.912 3.472 Pu
0.000 8.856 7.296 Pu
1.434 2.114 0.606 Ga
1.434 8.655 10.163 Ga
1.434 0.606 8.655 Ga
1.434 7.498 4.779 Ga
1.434 10.163 2.114 Ga
1.434 3.270 5.990 Ga
1.434 5.990 7.498 Ga
1.434 4.779 3.270 Ga
1.434 5.384 0.000 Ga
1.434 0.000 5.384 Ga
0.000 1.412 6.797 Ni
0.000 9.356 3.972 Ni
0.000 6.797 9.356 Ni
0.000 3.972 1.412 Ni
0.000 0.000 0.000 Ir
0.000 5.384 5.384 Ir
```

=====

[2]
DFT (PBE) results for Pu2Ga4Ni3Ir after structural relaxation.

Values from the calculation:
**ΔE_f**: -0.423 eV per atom
**Theoretical density**: 11.1 g/cm3
**DFT total energy**: -7.12 eV/atom

Structure (POSCAR):
```
Pu2Ga4Ni3Ir
1.0
-2.616 -3.146 0.355
2.758 -2.491 -1.748
3.815 -2.149 9.084
Pu Ga Ni Ir
2 4 3 1
Cartesian
-0.352 -2.112 2.455 Pu
4.238 -2.856 5.933 Pu
0.071 -2.819 -0.697 Ga
0.000 0.000 0.000 Ga
1.118 -2.939 5.954 Ga
2.768 -2.028 2.434 Ga
1.908 -1.074 4.542 Ni
2.013 -3.444 8.086 Ni
1.873 -1.524 0.302 Ni
1.979 -3.893 3.845 Ir
```